# PBE PuTi2S, relaxed
# Size of the total moment (μB/f.u.): 6.4
# Crystal system: trigonal
# Space-group type: R-3m, No. 166
# Formation energy without anion corrections (eV per formula unit): -1.33
# DOS(E_F) (states/eV/f.u.): 7.765
# Density (g/cm3): 7.78
data_PuTi2S
_cell_length_a 3.314
_cell_length_b 3.314
_cell_length_c 8.562
_cell_angle_alpha 78.84
_cell_angle_beta 78.84
_cell_angle_gamma 60.00
_symmetry_space_group_name_H-M 'P 1'
_symmetry_Int_Tables_number 1
_symmetry_space_group_name_Hall 'P 1'
loop_
_atom_site_label
_atom_site_type_symbol
_atom_site_fract_x
_atom_site_fract_y
_atom_site_fract_z
Ti1 Ti 0.889 0.889 0.332
Pu1 Pu 0.000 0.000 0.000
Ti2 Ti 0.111 0.111 0.668
S1 S 0.500 0.500 0.500

=====

# PBE Pu3TiTl4S8, relaxed
# Size of the total moment (μB/f.u.): 16.0
# Crystal system: trigonal
# Space-group type: R-3m, No. 166
# Formation energy without anion corrections (eV per formula unit): -18.24
# DOS(E_F) (states/eV/f.u.): 25.660
# Density (g/cm3): 7.58
data_Pu3TiTl4S8
_cell_length_a 7.900
_cell_length_b 8.787
_cell_length_c 7.901
_cell_angle_alpha 116.73
_cell_angle_beta 120.00
_cell_angle_gamma 90.00
_symmetry_space_group_name_H-M 'P 1'
_symmetry_Int_Tables_number 1
_symmetry_space_group_name_Hall 'P 1'
loop_
_atom_site_label
_atom_site_type_symbol
_atom_site_fract_x
_atom_site_fract_y
_atom_site_fract_z
Tl1 Tl 0.500 0.000 0.500
Ti1 Ti 0.000 0.500 0.000
Pu1 Pu 0.000 0.500 0.500
S1 S 0.247 0.310 0.029
Tl2 Tl 0.000 0.000 0.500
Tl3 Tl 0.000 0.000 0.000
Pu2 Pu 0.500 0.500 0.500
S2 S 0.218 0.690 0.437
S3 S 0.218 0.690 0.971
Tl4 Tl 0.500 0.000 0.000
S4 S 0.782 0.310 0.563
S5 S 0.782 0.310 0.029
S6 S 0.267 0.301 0.534
S7 S 0.733 0.699 0.466
S8 S 0.753 0.690 0.971
Pu3 Pu 0.500 0.500 0.000

=====

# PBE Pu3TiTl3S8, relaxed
# Size of the total moment (μB/f.u.): 15.0
# Crystal system: trigonal
# Space-group type: R-3m, No. 166
# Formation energy without anion corrections (eV per formula unit): -18.27
# DOS(E_F) (states/eV/f.u.): 26.804
# Density (g/cm3): 6.78
data_Pu3TiTl3S8
_cell_length_a 7.855
_cell_length_b 7.856
_cell_length_c 8.821
_cell_angle_alpha 116.47
_cell_angle_beta 90.01
_cell_angle_gamma 119.99
_symmetry_space_group_name_H-M 'P 1'
_symmetry_Int_Tables_number 1
_symmetry_space_group_name_Hall 'P 1'
loop_
_atom_site_label
_atom_site_type_symbol
_atom_site_fract_x
_atom_site_fract_y
_atom_site_fract_z
S1 S 0.733 0.465 0.698
S2 S 0.785 0.030 0.314
S3 S 0.215 0.970 0.686
Tl1 Tl 0.000 0.000 0.000
Ti1 Ti 0.000 0.000 0.500
S4 S 0.267 0.535 0.302
Pu1 Pu 0.500 0.000 0.500
S5 S 0.785 0.569 0.314
Pu2 Pu 0.000 0.500 0.500
Tl2 Tl 0.000 0.500 0.000
S6 S 0.245 0.030 0.314
Tl3 Tl 0.500 0.500 0.000
S7 S 0.215 0.431 0.686
Pu3 Pu 0.500 0.500 0.500
S8 S 0.755 0.970 0.686

=====

# PBE Pu3Tl2S6, relaxed
# Size of the total moment (μB/f.u.): 14.0
# Crystal system: monoclinic
# Space-group type: C2/m, No. 12
# Formation energy without anion corrections (eV per formula unit): -14.40
# DOS(E_F) (states/eV/f.u.): 25.078
# Density (g/cm3): 6.97
data_Pu3Tl2S6
_cell_length_a 7.003
_cell_length_b 7.002
_cell_length_c 7.830
_cell_angle_alpha 81.44
_cell_angle_beta 72.68
_cell_angle_gamma 59.99
_symmetry_space_group_name_H-M 'P 1'
_symmetry_Int_Tables_number 1
_symmetry_space_group_name_Hall 'P 1'
loop_
_atom_site_label
_atom_site_type_symbol
_atom_site_fract_x
_atom_site_fract_y
_atom_site_fract_z
Pu1 Pu 0.334 0.332 0.000
Tl1 Tl 0.833 0.334 0.500
S1 S 0.268 0.000 0.190
S2 S 0.732 0.000 0.810
Pu2 Pu 0.666 0.668 0.000
S3 S 0.939 0.665 0.190
S4 S 0.397 0.665 0.810
Tl2 Tl 0.167 0.666 0.500
Pu3 Pu 0.000 0.000 0.000
S5 S 0.061 0.335 0.810
S6 S 0.603 0.335 0.190